Entry 1:
Material: AcPrNd2P4
Method: DFT, PBE
State: relaxed

The calculation puts the mass density at 5.97 g/cm3. As for the raw total energy: -52.0 eV/cell. The calculation puts the formation energy at -144 kJ/mol of atoms.

The space group is P2/m (No. 10) and the conventional cell measures 7.360, 4.250 and 7.361 Å, with angles of 90.00, 109.39 and 90.00 degrees. The inequivalent atoms are Ac at (0.000, 0.000, 0.000), Pr at (0.500, 0.500, 0.000), Nd at (0.000, 0.500, 0.500), Nd at (0.500, 0.000, 0.500), P at (0.253, 0.000, 0.744) and P at (0.259, 0.500, 0.260).

Entry 2:
Material: Nd3Pd
Method: DFT, PBE
State: relaxed

The calculation puts the mass density at 6.94 g/cm3. As for the raw total energy: -20.2 eV/cell. The calculation puts the formation energy at -16 kJ/mol of atoms.

The space group is Pmm2 (No. 25) and the conventional cell measures 3.664, 3.770 and 9.345 Å, with angles of 90.00, 90.00 and 90.00 degrees. The inequivalent atoms are Nd at (0.000, 0.000, 0.000), Nd at (0.000, 0.500, 0.333), Nd at (0.500, 0.500, 0.721) and Pd at (0.500, 0.000, 0.477).

What is the mass density in the first record?
5.97 g/cm3

Which of these has the lowest mass density?
AcPrNd2P4

Which of these has the lowest mass density?
AcPrNd2P4